{"formula": "CrRe2Sb", "functional": "GGA-PBE", "state": "relaxed", "lattice": [[8.6945, -0.0213, -0.0125], [8.2050, 2.8764, -0.0125], [8.2050, 1.3862, 2.5204]], "species": ["Cr", "Re", "Re", "Sb"], "fractional_positions": [[0.7453, 0.7453, 0.7453], [0.0038, 0.0038, 0.0038], [0.2550, 0.2550, 0.2550], [0.4960, 0.4960, 0.4960]], "formation_energy_uncorrected_kj_per_mol_atoms": 47, "dft_energy_ev_per_atom": -9.175}